# 1
# PBE-GGA NaSb3Au3, optimized geometry
data_NaSb3Au3
_symmetry_space_group_name_H-M 'P 1 21/m 1'
_symmetry_Int_Tables_number 11
_cell_length_a 9.096
_cell_length_b 4.756
_cell_length_c 9.103
_cell_angle_alpha 90.00
_cell_angle_beta 119.97
_cell_angle_gamma 90.00
loop_
_symmetry_equiv_pos_as_xyz
'x,y,z'
'-x,-y,-z'
'-x,y+1/2,-z'
'x,-y+1/2,z'
loop_
_atom_site_label
_atom_site_type_symbol
_atom_site_fract_x
_atom_site_fract_y
_atom_site_fract_z
Na1 Na 0.166 0.250 0.333
Sb1 Sb 0.215 0.250 0.758
Sb2 Sb 0.258 0.750 0.043
Sb3 Sb 0.457 0.750 0.715
Au1 Au 0.027 0.250 0.922
Au2 Au 0.106 0.750 0.527
Au3 Au 0.422 0.750 0.395
# Density in Mg/m³: 9.53
# Distance to the lowest polymorph of the same formula in meV per atom: 0.0
# Size of the total moment in μB/f.u.: 0.0
# E_tot in eV/atom: -3.515
# Energy relative to the elements, uncorrected in eV/atom: -0.155
# DOS at the Fermi energy in states/eV per cell: 4.47

***

# 2
# PBE-GGA Na2SbAu, optimized geometry
data_Na2SbAu
_symmetry_space_group_name_H-M 'I -4 2 d'
_symmetry_Int_Tables_number 122
_symmetry_space_group_name_Hall 'I -4 2bw'
_cell_length_a 8.568
_cell_length_b 8.568
_cell_length_c 5.685
_cell_angle_alpha 90.00
_cell_angle_beta 90.00
_cell_angle_gamma 90.00
loop_
_atom_site_label
_atom_site_type_symbol
_atom_site_fract_x
_atom_site_fract_y
_atom_site_fract_z
Na1 Na 0.221 0.250 0.125
Sb1 Sb 0.000 0.000 0.500
Au1 Au 0.000 0.000 0.000
# Density in Mg/m³: 5.81
# Size of the total moment in μB/f.u.: 0.0
# E_tot in eV/atom: -2.675
# Energy relative to the elements, uncorrected in eV/atom: -0.165
# DOS at the Fermi energy in states/eV per cell: 6.03